This record from Alexandria via LeMat-Bulk describes crystalline LaPuSe2N at its relaxed geometry. The functional is GGA-PBE.

Properties
For the density of states at the Fermi level, the calculation gives 11.786 states/eV per cell. As for the total magnetization: 3.82 μB/f.u. As for the energy relative to the elements, uncorrected: -1.568 eV/atom. The total energy comes out at -8.479 eV per atom.

a b c (Å): 4.0220 4.0220 15.0634
angles (deg): 90.00 90.00 90.00
Site moments in Bohr magnetons follow the coordinates.
Element x y z (fractional)
La: 0.5000 0.0000 0.1359  -0.01
La: 0.0000 0.5000 0.8641  -0.01
Pu: 0.5000 0.0000 0.5709  4.30
Pu: 0.0000 0.5000 0.4291  4.30
Se: 0.0000 0.5000 0.6758  -0.12
Se: 0.0000 0.5000 0.0850  0.00
Se: 0.5000 0.0000 0.9150  0.00
Se: 0.5000 0.0000 0.3242  -0.12
N: 0.0000 0.0000 0.5000  -0.31
N: 0.5000 0.5000 0.5000  -0.31